1.
The following is a DFT calculation (GGA-PBE) of a relaxed structure of NaLaPd4.

Density   8.5 g cm⁻³
Electronic total energy   -122.52 eV/cell
Magnetization   0.0 μB per formula unit

Geometry as CIF:
```
data_NaLaPd4
_space_group_name_H-M_alt 'F -4 3 m'
_space_group_IT_number 216
_space_group_name_Hall 'F -4 2 3'
_cell_length_a 7.725
_cell_length_b 7.725
_cell_length_c 7.725
_cell_angle_alpha 90.00
_cell_angle_beta 90.00
_cell_angle_gamma 90.00
loop_
_atom_site_label
_atom_site_type_symbol
_atom_site_fract_x
_atom_site_fract_y
_atom_site_fract_z
_atom_site_occupancy
Na1 Na 0.000 0.000 0.000 1
La1 La 0.250 0.250 0.250 1
Pd1 Pd 0.125 0.125 0.625 1
```



2.
The following is a DFT calculation (GGA-PBE) of a relaxed structure of NaLaSnPd.

Density   6.8 g cm⁻³
Energy above the lowest structure with this stoichiometry   0.167 eV/atom
Electronic total energy   -68.54 eV/cell
Magnetization   0.0 μB per formula unit

Geometry as CIF:
```
data_NaLaSnPd
_space_group_name_H-M_alt 'F -4 3 m'
_space_group_IT_number 216
_space_group_name_Hall 'F -4 2 3'
_cell_length_a 7.218
_cell_length_b 7.218
_cell_length_c 7.218
_cell_angle_alpha 90.00
_cell_angle_beta 90.00
_cell_angle_gamma 90.00
loop_
_atom_site_label
_atom_site_type_symbol
_atom_site_fract_x
_atom_site_fract_y
_atom_site_fract_z
_atom_site_occupancy
Na1 Na 0.000 0.000 0.000 1
La1 La 0.250 0.250 0.750 1
Sn1 Sn 0.000 0.000 0.500 1
Pd1 Pd 0.250 0.250 0.250 1
```



3.
The following is a DFT calculation (GGA-PBE) of a relaxed structure of NaLaSnPd.

Density   7.1 g cm⁻³
Energy above the lowest structure with this stoichiometry   0.000 eV/atom
Electronic total energy   -71.21 eV/cell
Magnetization   0.0 μB per formula unit

Geometry as CIF:
```
data_NaLaSnPd
_space_group_name_H-M_alt 'F -4 3 m'
_space_group_IT_number 216
_space_group_name_Hall 'F -4 2 3'
_cell_length_a 7.122
_cell_length_b 7.122
_cell_length_c 7.122
_cell_angle_alpha 90.00
_cell_angle_beta 90.00
_cell_angle_gamma 90.00
loop_
_atom_site_label
_atom_site_type_symbol
_atom_site_fract_x
_atom_site_fract_y
_atom_site_fract_z
_atom_site_occupancy
Na1 Na 0.000 0.000 0.000 1
La1 La 0.250 0.250 0.250 1
Sn1 Sn 0.250 0.250 0.750 1
Pd1 Pd 0.000 0.000 0.500 1
```



4.
The following is a DFT calculation (GGA-PBE) of a relaxed structure of NaLaSnPd.

Density   6.3 g cm⁻³
Energy above the lowest structure with this stoichiometry   0.173 eV/atom
Electronic total energy   -68.45 eV/cell
Magnetization   0.0 μB per formula unit

Geometry as CIF:
```
data_NaLaSnPd
_space_group_name_H-M_alt 'F -4 3 m'
_space_group_IT_number 216
_space_group_name_Hall 'F -4 2 3'
_cell_length_a 7.405
_cell_length_b 7.405
_cell_length_c 7.405
_cell_angle_alpha 90.00
_cell_angle_beta 90.00
_cell_angle_gamma 90.00
loop_
_atom_site_label
_atom_site_type_symbol
_atom_site_fract_x
_atom_site_fract_y
_atom_site_fract_z
_atom_site_occupancy
Na1 Na 0.000 0.000 0.000 1
La1 La 0.000 0.000 0.500 1
Sn1 Sn 0.250 0.250 0.750 1
Pd1 Pd 0.250 0.250 0.250 1
```



5.
The following is a DFT calculation (GGA-PBE) of a relaxed structure of NaLaTl4Pd2.

Density   9.9 g cm⁻³
Electronic total energy   -57.44 eV/cell
Magnetization   0.0 μB per formula unit

Geometry as CIF:
```
data_NaLaTl4Pd2
_space_group_name_H-M_alt 'A m m 2'
_space_group_IT_number 38
_space_group_name_Hall 'A 2 -2'
_cell_length_a 8.145
_cell_length_b 4.601
_cell_length_c 10.624
_cell_angle_alpha 90.00
_cell_angle_beta 90.00
_cell_angle_gamma 90.00
loop_
_atom_site_label
_atom_site_type_symbol
_atom_site_fract_x
_atom_site_fract_y
_atom_site_fract_z
_atom_site_occupancy
Na1 Na 0.000 0.000 0.000 1
La1 La 0.500 0.000 0.136 1
Tl1 Tl 0.194 0.000 0.714 1
Tl2 Tl 0.291 0.000 0.428 1
Pd1 Pd 0.000 0.000 0.278 1
Pd2 Pd 0.500 0.000 0.852 1
```



6.
The following is a DFT calculation (GGA-PBE) of a relaxed structure of NaLaZrPd.

Density   6.5 g cm⁻³
Energy above the lowest structure with this stoichiometry   0.171 eV/atom
Electronic total energy   -75.35 eV/cell
Magnetization   0.1 μB per formula unit

Geometry as CIF:
```
data_NaLaZrPd
_space_group_name_H-M_alt 'F -4 3 m'
_space_group_IT_number 216
_space_group_name_Hall 'F -4 2 3'
_cell_length_a 7.167
_cell_length_b 7.167
_cell_length_c 7.167
_cell_angle_alpha 90.00
_cell_angle_beta 90.00
_cell_angle_gamma 90.00
loop_
_atom_site_label
_atom_site_type_symbol
_atom_site_fract_x
_atom_site_fract_y
_atom_site_fract_z
_atom_site_occupancy
Na1 Na 0.000 0.000 0.000 1
La1 La 0.000 0.000 0.500 1
Zr1 Zr 0.250 0.250 0.750 1
Pd1 Pd 0.250 0.250 0.250 1
```



7.
The following is a DFT calculation (GGA-PBE) of a relaxed structure of NaLaZrPd.

Density   6.2 g cm⁻³
Energy above the lowest structure with this stoichiometry   0.000 eV/atom
Electronic total energy   -78.09 eV/cell
Magnetization   1.5 μB per formula unit

Geometry as CIF:
```
data_NaLaZrPd
_space_group_name_H-M_alt 'F -4 3 m'
_space_group_IT_number 216
_space_group_name_Hall 'F -4 2 3'
_cell_length_a 7.259
_cell_length_b 7.259
_cell_length_c 7.259
_cell_angle_alpha 90.00
_cell_angle_beta 90.00
_cell_angle_gamma 90.00
loop_
_atom_site_label
_atom_site_type_symbol
_atom_site_fract_x
_atom_site_fract_y
_atom_site_fract_z
_atom_site_occupancy
Na1 Na 0.000 0.000 0.000 1
La1 La 0.250 0.250 0.250 1
Zr1 Zr 0.250 0.250 0.750 1
Pd1 Pd 0.000 0.000 0.500 1
```



8.
The following is a DFT calculation (GGA-PBE) of a relaxed structure of NaLaZrPd.

Density   6.7 g cm⁻³
Energy above the lowest structure with this stoichiometry   0.045 eV/atom
Electronic total energy   -77.36 eV/cell
Magnetization   0.0 μB per formula unit

Geometry as CIF:
```
data_NaLaZrPd
_space_group_name_H-M_alt 'F -4 3 m'
_space_group_IT_number 216
_space_group_name_Hall 'F -4 2 3'
_cell_length_a 7.091
_cell_length_b 7.091
_cell_length_c 7.091
_cell_angle_alpha 90.00
_cell_angle_beta 90.00
_cell_angle_gamma 90.00
loop_
_atom_site_label
_atom_site_type_symbol
_atom_site_fract_x
_atom_site_fract_y
_atom_site_fract_z
_atom_site_occupancy
Na1 Na 0.000 0.000 0.000 1
La1 La 0.250 0.250 0.750 1
Zr1 Zr 0.000 0.000 0.500 1
Pd1 Pd 0.250 0.250 0.250 1
```



9.
The following is a DFT calculation (GGA-PBE) of a relaxed structure of NaLaZrPt.

Density   8.0 g cm⁻³
Energy above the lowest structure with this stoichiometry   0.000 eV/atom
Electronic total energy   -84.91 eV/cell
Magnetization   0.7 μB per formula unit

Geometry as CIF:
```
data_NaLaZrPt
_space_group_name_H-M_alt 'F -4 3 m'
_space_group_IT_number 216
_space_group_name_Hall 'F -4 2 3'
_cell_length_a 7.190
_cell_length_b 7.190
_cell_length_c 7.190
_cell_angle_alpha 90.00
_cell_angle_beta 90.00
_cell_angle_gamma 90.00
loop_
_atom_site_label
_atom_site_type_symbol
_atom_site_fract_x
_atom_site_fract_y
_atom_site_fract_z
_atom_site_occupancy
Na1 Na 0.000 0.000 0.000 1
La1 La 0.250 0.250 0.250 1
Zr1 Zr 0.250 0.250 0.750 1
Pt1 Pt 0.000 0.000 0.500 1
```



10.
The following is a DFT calculation (GGA-PBE) of a relaxed structure of NaLaZrPt.

Density   8.6 g cm⁻³
Energy above the lowest structure with this stoichiometry   0.056 eV/atom
Electronic total energy   -84.01 eV/cell
Magnetization   0.0 μB per formula unit

Geometry as CIF:
```
data_NaLaZrPt
_space_group_name_H-M_alt 'F -4 3 m'
_space_group_IT_number 216
_space_group_name_Hall 'F -4 2 3'
_cell_length_a 7.027
_cell_length_b 7.027
_cell_length_c 7.027
_cell_angle_alpha 90.00
_cell_angle_beta 90.00
_cell_angle_gamma 90.00
loop_
_atom_site_label
_atom_site_type_symbol
_atom_site_fract_x
_atom_site_fract_y
_atom_site_fract_z
_atom_site_occupancy
Na1 Na 0.000 0.000 0.000 1
La1 La 0.250 0.250 0.750 1
Zr1 Zr 0.000 0.000 0.500 1
Pt1 Pt 0.250 0.250 0.250 1
```



11.
The following is a DFT calculation (GGA-PBE) of a relaxed structure of NaLaZrPt.

Density   8.3 g cm⁻³
Energy above the lowest structure with this stoichiometry   0.234 eV/atom
Electronic total energy   -81.17 eV/cell
Magnetization   0.1 μB per formula unit

Geometry as CIF:
```
data_NaLaZrPt
_space_group_name_H-M_alt 'F -4 3 m'
_space_group_IT_number 216
_space_group_name_Hall 'F -4 2 3'
_cell_length_a 7.113
_cell_length_b 7.113
_cell_length_c 7.113
_cell_angle_alpha 90.00
_cell_angle_beta 90.00
_cell_angle_gamma 90.00
loop_
_atom_site_label
_atom_site_type_symbol
_atom_site_fract_x
_atom_site_fract_y
_atom_site_fract_z
_atom_site_occupancy
Na1 Na 0.000 0.000 0.000 1
La1 La 0.000 0.000 0.500 1
Zr1 Zr 0.250 0.250 0.750 1
Pt1 Pt 0.250 0.250 0.250 1
```



12.
The following is a DFT calculation (GGA-PBE) of a relaxed structure of NaLaPu.

Density   6.3 g cm⁻³
Energy above the lowest structure with this stoichiometry   0.000 eV/atom
Electronic total energy   -71.41 eV/cell
Magnetization   7.7 μB per formula unit

Geometry as CIF:
```
data_NaLaPu
_space_group_name_H-M_alt 'F -4 3 m'
_space_group_IT_number 216
_space_group_name_Hall 'F -4 2 3'
_cell_length_a 7.545
_cell_length_b 7.545
_cell_length_c 7.545
_cell_angle_alpha 90.00
_cell_angle_beta 90.00
_cell_angle_gamma 90.00
loop_
_atom_site_label
_atom_site_type_symbol
_atom_site_fract_x
_atom_site_fract_y
_atom_site_fract_z
_atom_site_occupancy
Na1 Na 0.000 0.000 0.000 1
La1 La 0.250 0.250 0.750 1
Pu1 Pu 0.250 0.250 0.250 1
```